# Sn2AsPt2

A relaxed Sn2AsPt2 crystal (GGA-PBE, Alexandria).

Unit cell a=7.5455 b=7.5455 c=3.5234 alpha=90.00 beta=90.00 gamma=90.00
Last column: nearest neighbours and their distance in Å.
Positions (direct):
Sn (0.8371, 0.3371, 0.5000)  6 Pt 2.78-2.87
Sn (0.6629, 0.8371, 0.5000)  6 Pt 2.78-2.87
Sn (0.3371, 0.1629, 0.5000)  6 Pt 2.78-2.87
Sn (0.1629, 0.6629, 0.5000)  6 Pt 2.78-2.87
Pt (0.3639, 0.8639, 0.0000)  6 Sn 2.78-2.87, 1 Pt 2.90, 2 As 2.93
Pt (0.1361, 0.3639, 0.0000)  6 Sn 2.78-2.87, 1 Pt 2.90, 2 As 2.93
Pt (0.8639, 0.6361, 0.0000)  6 Sn 2.78-2.87, 1 Pt 2.90, 2 As 2.93
Pt (0.6361, 0.1361, 0.0000)  6 Sn 2.78-2.87, 1 Pt 2.90, 2 As 2.93
As (0.0000, 0.0000, 0.0000)  4 Pt 2.93
As (0.5000, 0.5000, 0.0000)  4 Pt 2.93

formation energy from the elements	-179.2	meV/atom
DOS at the Fermi energy	4.2	states/eV/cell
size of the total moment	0.00	μB/f.u.
crystal system	tetragonal